[1]
{
  "formula": "LiTlPtF6",
  "functional": "PBE",
  "state": "optimized geometry",
  "e_form_raw_ev_per_atom": -1.906,
  "final_energy_ha_per_atom": -0.158,
  "n_ef_per_ev_atom": 0.00,
  "lattice": [[-0.210, 3.794, -3.830], [0.244, -5.211, -1.375], [-12.204, -0.594, 0.081]],
  "species": ["Li", "Li", "Tl", "Tl", "Pt", "Pt", "F", "F", "F", "F", "F", "F", "F", "F", "F", "F", "F", "F"],
  "fractional_positions": [[0.333, 0.667, 0.250], [0.667, 0.333, 0.750], [0.000, 0.000, 0.000], [0.000, 0.000, 0.500], [0.667, 0.333, 0.250], [0.333, 0.667, 0.750], [0.645, 0.628, 0.160], [0.982, 0.355, 0.160], [0.355, 0.982, 0.660], [0.018, 0.645, 0.840], [0.372, 0.355, 0.340], [0.982, 0.628, 0.340], [0.628, 0.982, 0.840], [0.645, 0.018, 0.340], [0.018, 0.372, 0.660], [0.372, 0.018, 0.160], [0.628, 0.645, 0.660], [0.355, 0.372, 0.840]]
}

***

[2]
{
  "formula": "NdEu2Lu",
  "functional": "PBE",
  "state": "optimized geometry",
  "e_above_lowest_polymorph_mev_per_atom": 9,
  "e_form_ev_per_atom": 0.12,
  "final_energy_ha_per_atom": -0.270,
  "n_ef_per_ev_atom": 1.42,
  "lattice": [[-3.129, -2.022, 3.802], [4.151, -0.802, 2.989], [-0.563, 4.722, 2.048]],
  "species": ["Eu", "Eu", "Lu", "Nd"],
  "fractional_positions": [[0.000, 0.000, 0.500], [0.000, 0.500, 0.000], [0.500, 0.500, 0.500], [0.500, 0.000, 0.000]]
}

***

[3]
{
  "formula": "Ba2HgSbPd6",
  "functional": "PBE",
  "state": "optimized geometry",
  "e_form_raw_ev_per_atom": -0.523,
  "final_energy_ha_per_atom": -0.164,
  "n_ef_per_ev_atom": 0.32,
  "lattice": [[5.748, -0.001, 0.017], [0.001, 9.063, 0.119], [2.860, 4.692, 4.788]],
  "species": ["Ba", "Ba", "Hg", "Sb", "Pd", "Pd", "Pd", "Pd", "Pd", "Pd"],
  "fractional_positions": [[0.741, 0.278, 0.517], [0.259, 0.722, 0.483], [0.000, 0.000, 0.000], [0.500, 0.500, 0.000], [0.249, 0.095, 0.502], [0.777, 0.754, 0.964], [0.259, 0.754, 0.964], [0.741, 0.246, 0.036], [0.223, 0.246, 0.036], [0.751, 0.905, 0.498]]
}

***

[4]
{
  "formula": "Na2MgGaF7",
  "functional": "PBE",
  "state": "optimized geometry",
  "e_form_raw_ev_per_atom": -2.980,
  "final_energy_ha_per_atom": -0.178,
  "n_ef_per_ev_atom": 0.00,
  "lattice": [[-1.906, -6.199, -3.439], [6.574, -0.128, -3.264], [-0.586, 0.256, 7.312]],
  "species": ["Na", "Na", "Na", "Na", "Mg", "Mg", "Ga", "Ga", "F", "F", "F", "F", "F", "F", "F", "F", "F", "F", "F", "F", "F", "F"],
  "fractional_positions": [[0.500, 0.500, 0.000], [0.000, 0.000, 0.000], [0.000, 0.500, 0.000], [0.000, 0.000, 0.500], [0.500, 0.500, 0.500], [0.500, 0.000, 0.000], [0.000, 0.500, 0.500], [0.500, 0.000, 0.500], [0.863, 0.590, 0.273], [0.183, 0.910, 0.273], [0.182, 0.811, 0.763], [0.452, 0.689, 0.372], [0.452, 0.080, 0.763], [0.182, 0.420, 0.372], [0.818, 0.580, 0.628], [0.548, 0.920, 0.237], [0.548, 0.311, 0.628], [0.818, 0.189, 0.237], [0.399, 0.250, 0.149], [0.137, 0.410, 0.727], [0.817, 0.090, 0.727], [0.601, 0.750, 0.851]]
}

***

[5]
{
  "formula": "ZrReHg",
  "functional": "PBE",
  "state": "optimized geometry",
  "e_above_lowest_polymorph_mev_per_atom": 780,
  "e_form_ev_per_atom": 1.00,
  "final_energy_ha_per_atom": -0.224,
  "n_ef_per_ev_atom": 1.43,
  "lattice": [[-3.669, 0.630, -2.700], [0.296, -0.832, -4.513], [-2.168, -3.626, -1.816]],
  "species": ["Hg", "Re", "Zr"],
  "fractional_positions": [[0.000, 0.000, 0.000], [0.500, 0.500, 0.500], [0.750, 0.750, 0.750]]
}

***

[6]
{
  "formula": "SmHo4In5",
  "functional": "PBE",
  "state": "optimized geometry",
  "e_form_ev_per_atom": -0.46,
  "final_energy_ha_per_atom": -0.152,
  "n_ef_per_ev_atom": 0.59,
  "lattice": [[-0.124, -1.407, -3.471], [3.682, 0.592, -0.372], [3.480, -17.325, 6.898]],
  "species": ["Sm", "Ho", "Ho", "Ho", "Ho", "In", "In", "In", "In", "In"],
  "fractional_positions": [[0.000, 0.000, 0.000], [0.000, 0.000, 0.204], [0.000, 0.000, 0.402], [0.000, 0.000, 0.598], [0.000, 0.000, 0.796], [0.500, 0.500, 0.106], [0.500, 0.500, 0.303], [0.500, 0.500, 0.500], [0.500, 0.500, 0.697], [0.500, 0.500, 0.894]]
}